The following is a GGA-PBE calculation of a relaxed structure of CaNbBi2, from Alexandria via LeMat-Bulk.

```
CaNbBi2
1.0
3.641 0.000 0.000
1.821 3.153 0.000
1.821 1.051 10.713
Nb Bi Ca
1 2 1
Cartesian
3.641 2.102 5.356 Nb
1.821 1.051 7.429 Bi
5.462 3.153 3.284 Bi
0.000 0.000 0.000 Ca
```

## Properties
- total magnetic moment (Bohr magnetons per cell) = 0.00
- ΔH_f (0 K) (meV/atom) = 104
- theoretical density (g/cm³) = 7.44
- symmetry = R-3m (166)
- N(E_F) (states/eV/cell) = 2.8